(1)
Below is crystalline Y2ReOs at its relaxed geometry, with properties calculated at the PBE-GGA level.

```
Y2ReOs
1.0
9.1734 -0.0125 -0.0074
8.6088 3.1685 -0.0074
8.6088 1.5279 2.7758
Os Re Y
1 1 2
Cartesian
6.5978 1.1710 0.6903
19.7933 3.5129 2.0708
26.3578 4.6780 2.7575
13.2289 2.3478 1.3840
```

Output
N(E_F) = 1.398 states/eV per atom
mass density = 11.3 g/cm3
space group = R-3m, No. 166
size of the total moment = 0.00 Bohr magnetons per cell
energy of formation from the pure elements = 561.3 meV per atom


(2)
Below is crystalline Y2ReOs at its relaxed geometry, with properties calculated at the PBE-GGA level.

```
Y2ReOs
1.0
4.7932 0.0115 -0.0136
3.7782 2.9496 -0.0136
0.7919 0.2736 5.7503
Os Re Y
1 1 2
Cartesian
7.0225 2.4260 4.2924
2.3408 0.8087 1.4308
0.8196 0.2831 5.7281
4.6540 1.6078 2.8839
```

Output
N(E_F) = 0.928 states/eV per atom
mass density = 11.4 g/cm3
space group = C2/m, No. 12
size of the total moment = 0.00 Bohr magnetons per cell
energy of formation from the pure elements = 549.8 meV per atom


(3)
Below is crystalline YRe2Os at its relaxed geometry, with properties calculated at the PBE-GGA level.

```
YRe2Os
1.0
4.5682 0.0000 0.0000
0.0000 2.8111 0.0131
0.0000 0.9954 5.2924
Os Re Y
1 2 1
Cartesian
2.2841 2.8548 3.9792
0.0000 1.0215 5.1824
0.0000 1.8771 2.7628
2.2841 0.9516 1.3264
```

Output
N(E_F) = 1.054 states/eV per atom
mass density = 15.9 g/cm3
space group = P2/m, No. 10
size of the total moment = 0.00 Bohr magnetons per cell
energy of formation from the pure elements = 464.5 meV per atom


(4)
Below is crystalline YReOs2 at its relaxed geometry, with properties calculated at the PBE-GGA level.

```
YReOs2
1.0
2.9742 0.0000 0.0000
0.0000 2.9742 0.0000
0.0000 0.0000 7.7783
Os Re Y
2 1 1
Cartesian
0.0000 0.0000 0.3006
0.0000 0.0000 3.5885
1.4871 1.4871 1.9446
1.4871 1.4871 5.8337
```

Output
N(E_F) = 1.214 states/eV per atom
mass density = 15.8 g/cm3
space group = P4/mmm, No. 123
size of the total moment = 0.00 Bohr magnetons per cell
energy of formation from the pure elements = 142.1 meV per atom


(5)
Below is crystalline YRe2Os at its relaxed geometry, with properties calculated at the PBE-GGA level.

```
YRe2Os
1.0
4.5719 -0.0220 0.0000
0.0162 4.5720 0.0000
-2.2941 -2.2750 3.2349
Os Re Y
1 2 1
Cartesian
2.2860 -0.0110 1.6175
0.0000 0.0000 0.0000
0.0081 2.2860 1.6175
2.2941 2.2750 0.0000
```

Output
N(E_F) = 1.071 states/eV per atom
mass density = 16.0 g/cm3
space group = I-4m2, No. 119
size of the total moment = 0.00 Bohr magnetons per cell
energy of formation from the pure elements = 365.9 meV per atom


(6)
Below is crystalline Y2ReOs at its relaxed geometry, with properties calculated at the PBE-GGA level.

```
Y2ReOs
1.0
5.6838 0.0131 0.0000
2.7467 4.9760 0.0000
-4.2152 -2.4945 2.8835
Os Re Y
1 1 2
Cartesian
4.2152 2.4945 0.0000
2.8419 0.0065 1.4417
0.0000 0.0000 0.0000
1.3734 2.4880 1.4417
```

Output
N(E_F) = 1.148 states/eV per atom
mass density = 11.3 g/cm3
space group = I-4m2, No. 119
size of the total moment = 0.00 Bohr magnetons per cell
energy of formation from the pure elements = 465.3 meV per atom


(7)
Below is crystalline YRe3Os at its relaxed geometry, with properties calculated at the PBE-GGA level.

```
YRe3Os
1.0
-0.3089 -4.6249 0.4306
4.3185 -0.1270 1.7333
-1.7103 0.5145 4.2989
Y Re Os
1 3 1
Cartesian
0.0000 0.0000 0.0000
2.1593 -0.0635 0.8667
-0.8551 0.2573 2.1494
-0.1544 -2.3124 0.2153
1.1497 -2.1187 3.2314
```

Output
N(E_F) = 1.697 states/eV per atom
mass density = 13.8 g/cm3
space group = Pm-3m, No. 221
size of the total moment = 0.00 Bohr magnetons per cell
energy of formation from the pure elements = 3524.7 meV per atom


(8)
Below is crystalline YRe2Os at its relaxed geometry, with properties calculated at the PBE-GGA level.

```
YRe2Os
1.0
5.7776 0.0018 0.0027
3.1126 4.8675 -0.0027
-3.8550 -3.5120 2.4871
Os Re Y
1 2 1
Cartesian
1.8513 1.8951 1.2422
0.2761 0.1512 0.0000
4.1690 2.2834 0.0000
3.1838 -0.5378 1.2449
```

Output
N(E_F) = 0.918 states/eV per atom
mass density = 15.5 g/cm3
space group = Immm, No. 71
size of the total moment = 0.00 Bohr magnetons per cell
energy of formation from the pure elements = 315.9 meV per atom


(9)
Below is crystalline YReOs2 at its relaxed geometry, with properties calculated at the PBE-GGA level.

```
YReOs2
1.0
-2.6236 9.3276 1.4793
-5.1506 8.1188 1.9057
-3.2912 8.3040 4.0357
Os Re Y
2 1 1
Cartesian
-10.9631 25.5124 7.3521
-2.7675 6.4402 1.8559
-5.6452 13.1370 3.7858
-8.2877 19.2863 5.5579
```

Output
N(E_F) = 0.925 states/eV per atom
mass density = 16.2 g/cm3
space group = R3m, No. 160
size of the total moment = 0.16 Bohr magnetons per cell
energy of formation from the pure elements = 511.3 meV per atom


(10)
Below is crystalline YReOs2 at its relaxed geometry, with properties calculated at the PBE-GGA level.

```
YReOs2
1.0
4.7210 0.0439 0.0000
-0.4467 4.7000 0.0000
0.0000 0.0000 3.0340
Os Re Y
2 1 1
Cartesian
0.0000 0.0000 0.0000
2.1371 2.3720 0.0000
2.3605 0.0220 1.5170
-0.2234 2.3500 1.5170
```

Output
N(E_F) = 1.136 states/eV per atom
mass density = 16.2 g/cm3
space group = Cmmm, No. 65
size of the total moment = 0.00 Bohr magnetons per cell
energy of formation from the pure elements = 361.6 meV per atom


(11)
Below is crystalline YRe2Os at its relaxed geometry, with properties calculated at the PBE-GGA level.

```
YRe2Os
1.0
3.1703 0.0000 0.0000
0.0000 4.5461 0.0118
0.0000 4.5380 4.7229
Os Re Y
1 2 1
Cartesian
0.0000 2.2690 2.3614
0.0000 0.0000 0.0000
1.5852 2.2730 0.0059
1.5852 4.5420 2.3674
```

Output
N(E_F) = 0.688 states/eV per atom
mass density = 15.9 g/cm3
space group = Pmmm, No. 47
size of the total moment = 0.00 Bohr magnetons per cell
energy of formation from the pure elements = 370.7 meV per atom


(12)
Below is crystalline YReOs2 at its relaxed geometry, with properties calculated at the PBE-GGA level.

```
YReOs2
1.0
-1.4070 2.1672 -1.2372
0.7903 -0.9602 -2.5808
-6.9085 -4.6956 -0.3687
Os Re Y
2 1 1
Cartesian
-0.2542 -0.1728 -0.0136
-2.0012 -0.5471 -1.9993
-3.2124 -2.1834 -0.1714
-5.5116 -2.9330 -2.1866
```

Output
N(E_F) = 1.071 states/eV per atom
mass density = 15.9 g/cm3
space group = P4mm, No. 99
size of the total moment = 0.00 Bohr magnetons per cell
energy of formation from the pure elements = 300.1 meV per atom